No. 1
The following is a PBE with a Hubbard U calculation of a geometry-optimized NaBiW2O8 structure, from Alexandria via LeMat-Bulk.

The calculation puts the calculated volume at 16.1 Å³/atom. The polymorph energy (0 for the lowest one) is 0.570 eV/f.u.

Structure (CIF):
```
data_NaBiW2O8
_space_group_name_H-M_alt 'I -4 m 2'
_space_group_IT_number 119
_space_group_name_Hall 'I -4 -2'
_cell_length_a 7.5649
_cell_length_b 7.5649
_cell_length_c 6.7334
_cell_angle_alpha 90.00
_cell_angle_beta 90.00
_cell_angle_gamma 90.00
loop_
_atom_site_label
_atom_site_type_symbol
_atom_site_fract_x
_atom_site_fract_y
_atom_site_fract_z
Na1 Na 0.0000 0.0000 0.0000
Bi1 Bi 0.0000 0.5000 0.7500
W1 W 0.0000 0.0000 0.5000
W2 W 0.0000 0.5000 0.2500
O1 O 0.0000 0.1937 0.6587
O2 O 0.0000 0.3142 0.0780
```

---

No. 2
The following is a PBE with a Hubbard U calculation of a geometry-optimized NaBiW2O8 structure, from Alexandria via LeMat-Bulk.

The calculation puts the calculated volume at 13.8 Å³/atom. The polymorph energy (0 for the lowest one) is 0.000 eV/f.u.

Structure (CIF):
```
data_NaBiW2O8
_space_group_name_H-M_alt 'I -4'
_space_group_IT_number 82
_cell_length_a 5.3602
_cell_length_b 5.3602
_cell_length_c 11.5439
_cell_angle_alpha 90.00
_cell_angle_beta 90.00
_cell_angle_gamma 90.00
loop_
_space_group_symop_operation_xyz
'x,y,z'
'y,-x,-z'
'-x,-y,z'
'-y,x,-z'
'x+1/2,y+1/2,z+1/2'
'y+1/2,-x+1/2,-z+1/2'
'-x+1/2,-y+1/2,z+1/2'
'-y+1/2,x+1/2,-z+1/2'
loop_
_atom_site_label
_atom_site_type_symbol
_atom_site_fract_x
_atom_site_fract_y
_atom_site_fract_z
Na1 Na 0.0000 0.0000 0.0000
Bi1 Bi 0.0000 0.5000 0.2500
W1 W 0.0000 0.0000 0.5000
W2 W 0.0000 0.5000 0.7500
O1 O 0.1515 0.2394 0.4114
O2 O 0.1620 0.7395 0.8344
```